Compound: PuCd2Ag9
Source: the Alexandria database
Functional: PBE
Structure: relaxed

Volume in Å³ per atom: 20.67
ΔH_f (0 K) in kJ/mol of formula units: 47
SG: R-3m, No. 166

Unit cell a=5.643 b=5.643 c=9.569 alpha=72.85 beta=72.85 gamma=60.00
Atoms (fractional coordinates):
Ag (0.081, 0.588, 0.743)
Ag (0.334, 0.334, 0.999)
Ag (0.588, 0.081, 0.743)
Ag (0.588, 0.588, 0.743)
Ag (0.412, 0.412, 0.257)
Ag (0.500, 0.500, 0.500)
Ag (0.412, 0.919, 0.257)
Ag (0.666, 0.666, 0.001)
Ag (0.919, 0.412, 0.257)
Cd (0.857, 0.857, 0.428)
Cd (0.143, 0.143, 0.572)
Pu (0.000, 0.000, 0.000)